(1)
## Si2HgCO (PBE-GGA)

Data for an optimized crystal structure of Si2HgCO.

As for the raw formation energy: 129.1 kJ per mole of atoms. As for the symmetry: P4/mmm (123). The calculation puts the spin magnetization at 0.00 μB/cell.

abc: 3.908 5.390 3.908
angles: 90.00 90.00 90.00
Sites, in units of the cell vectors:
C: 0.500 0.500 0.500
Si: 0.000 0.000 0.500
Si: 0.500 0.000 0.000
Hg: 0.000 0.500 0.000
O: 0.000 0.000 0.000



(2)
## Tl4NiSb (PBE-GGA)

Data for an optimized crystal structure of Tl4NiSb.

As for the raw formation energy: 58.4 kJ per mole of atoms. As for the symmetry: F-43m (216). The calculation puts the spin magnetization at 0.56 μB/cell.

abc: 6.310 6.310 6.310
angles: 60.00 60.00 60.00
Last column: magnetic moment on the atom in μB.
Sites, in units of the cell vectors:
Tl: 0.875 0.375 0.375  -0.01
Tl: 0.375 0.375 0.875  -0.01
Tl: 0.375 0.875 0.375  -0.01
Tl: 0.375 0.375 0.375  -0.01
Ni: 0.750 0.750 0.750  0.62
Sb: 0.000 0.000 0.000  0.02



(3)
## CuMoSN2 (PBE-GGA)

Data for an optimized crystal structure of CuMoSN2.

As for the raw formation energy: 146.4 kJ per mole of atoms. As for the symmetry: P4/mmm (123). For the distance to the lowest polymorph of the same formula, the calculation gives 0.973 eV per atom. The calculation puts the spin magnetization at 0.85 μB/cell.

abc: 3.750 3.750 4.567
angles: 90.00 90.00 90.00
Last column: magnetic moment on the atom in μB.
Sites, in units of the cell vectors:
Mo: 0.500 0.500 0.500  2.46
S: 0.000 0.000 0.500  -0.13
Cu: 0.000 0.000 0.000  -0.11
N: 0.000 0.500 0.000  -0.61
N: 0.500 0.000 0.000  -0.61



(4)
## La4Ho5In (PBE-GGA)

Data for an optimized crystal structure of La4Ho5In.

The formation energy is 0.05 eV per atom. As for the symmetry: I4mm (107). The calculation puts the spin magnetization at 0.00 μB/cell.

abc: 5.853 8.233 8.233
angles: 82.74 69.18 69.18
Sites, in units of the cell vectors:
La: 0.458 0.307 0.693
La: 0.765 0.693 0.693
La: 0.151 0.307 0.307
La: 0.458 0.693 0.307
Ho: 0.774 0.366 0.000
Ho: 0.141 0.000 0.634
Ho: 0.774 0.000 0.366
Ho: 0.140 0.634 0.000
Ho: 0.668 0.000 0.000
In: 0.182 0.000 0.000



(5)
## AcLa2Pm3Y6 (PBE-GGA)

Data for an optimized crystal structure of AcLa2Pm3Y6.

The formation energy is 0.02 eV per atom. As for the symmetry: C2/m (12). The calculation puts the spin magnetization at 0.00 μB/cell.

abc: 6.357 6.357 11.956
angles: 95.08 95.08 120.00
Sites, in units of the cell vectors:
Ac: 0.000 0.000 0.000
La: 0.333 0.667 0.000
La: 0.667 0.333 0.000
Pm: 0.167 0.833 0.500
Pm: 0.833 0.167 0.500
Pm: 0.500 0.500 0.500
Y: 0.915 0.580 0.746
Y: 0.751 0.751 0.254
Y: 0.085 0.420 0.254
Y: 0.580 0.915 0.746
Y: 0.249 0.249 0.746
Y: 0.420 0.085 0.254



(6)
## CePuAl (PBE-GGA)

Data for an optimized crystal structure of CePuAl.

The formation energy is -0.15 eV per atom. As for the symmetry: P-6m2 (187). For the distance to the lowest polymorph of the same formula, the calculation gives 0.012 eV per atom. The calculation puts the spin magnetization at 5.48 μB/cell.

abc: 2.981 5.069 5.069
angles: 120.00 90.00 90.00
Last column: magnetic moment on the atom in μB.
Sites, in units of the cell vectors:
Al: 0.333 0.333 0.667  -0.03
Ce: 0.833 0.000 0.000  0.11
Pu: 0.833 0.667 0.333  5.30



| no. | Fermi-level density of states (states/eV/f.u.) |
| --- | --- |
| 1 | 2.199 |
| 2 | 6.939 |
| 3 | 3.004 |
| 4 | 15.515 |
| 5 | 14.422 |
| 6 | 7.793 |